A plane-wave DFT calculation with PBE was carried out for a relaxed structure of BiAuI2.

a b c (Å): 5.506 5.506 5.506
angles (deg): 60.00 60.00 60.00
Fractional positions:
Bi 0.000 0.000 0.000
Au 0.500 0.500 0.500
I 0.250 0.250 0.250
I 0.750 0.750 0.750

ΔE_f (raw) (eV/atom): 0.3256
Final energy (eV per atom): -2.239
Relative energy among the computed polymorphs (meV per atom): 107.3
Space-group type: Fm-3m (225)

***

A plane-wave DFT calculation with PBE was carried out for a relaxed structure of InFeTc2S.

a b c (Å): 4.324 4.324 5.034
angles (deg): 90.00 90.00 90.00
Fractional positions:
In 0.000 0.000 0.000
Fe 0.500 0.500 0.000
Tc 0.000 0.500 0.500
Tc 0.500 0.000 0.500
S 0.000 0.000 0.500

ΔE_f (raw) (eV/atom): 0.9662
Final energy (eV per atom): -6.246
Space-group type: P4/mmm (123)

***

A plane-wave DFT calculation with PBE was carried out for a relaxed structure of Mg3InSn4.

a b c (Å): 4.694 4.705 9.019
angles (deg): 90.00 90.00 90.00
Fractional positions:
Mg 0.000 0.000 0.000
Mg 0.000 0.000 0.500
Mg 0.500 0.500 0.000
In 0.500 0.500 0.500
Sn 0.000 0.500 0.239
Sn 0.000 0.500 0.761
Sn 0.500 0.000 0.239
Sn 0.500 0.000 0.761

Final energy (eV per atom): -3.022
Energy relative to the elements (eV per atom): -0.0805
Space-group type: Pmmm (47)

***

A plane-wave DFT calculation with PBE was carried out for a relaxed structure of CsZrSi3.

a b c (Å): 5.193 5.193 5.193
angles (deg): 90.00 90.00 90.00
Fractional positions:
Cs 0.000 0.000 0.000
Zr 0.500 0.500 0.500
Si 0.000 0.000 0.500
Si 0.000 0.500 0.000
Si 0.500 0.000 0.000

ΔE_f (raw) (eV/atom): 2.2223
Final energy (eV per atom): -2.912
Relative energy among the computed polymorphs (meV per atom): 1859.2
Space-group type: Pm-3m (221)

***

A plane-wave DFT calculation with PBE was carried out for a relaxed structure of SmZrTcPd.

a b c (Å): 4.832 4.832 4.832
angles (deg): 60.00 60.00 60.00
Fractional positions:
Sm 0.000 0.000 0.000
Zr 0.500 0.500 0.500
Tc 0.250 0.250 0.250
Pd 0.750 0.750 0.750

Final energy (eV per atom): -7.556
Energy relative to the elements (eV per atom): -0.3499
Space-group type: F-43m (216)

***

A plane-wave DFT calculation with PBE was carried out for a relaxed structure of TbHoTm2Rh4.

a b c (Å): 8.337 8.337 8.337
angles (deg): 33.53 33.53 33.53
Fractional positions:
Tb 0.000 0.000 0.000
Ho 0.500 0.500 0.500
Tm 0.250 0.250 0.250
Tm 0.750 0.750 0.750
Rh 0.125 0.125 0.125
Rh 0.375 0.375 0.375
Rh 0.625 0.625 0.625
Rh 0.875 0.875 0.875

Final energy (eV per atom): -6.871
Energy relative to the elements (eV per atom): -0.9264
Space-group type: R-3m (166)

***

A plane-wave DFT calculation with PBE was carried out for a relaxed structure of CeSnSe3.

a b c (Å): 8.041 4.252 11.054
angles (deg): 90.00 106.72 90.00
Fractional positions:
Ce 0.001 0.250 0.324
Ce 0.999 0.750 0.676
Sn 0.478 0.250 0.824
Sn 0.522 0.750 0.176
Se 0.172 0.750 0.248
Se 0.193 0.250 0.592
Se 0.299 0.750 0.899
Se 0.701 0.250 0.101
Se 0.807 0.750 0.408
Se 0.828 0.250 0.752

ΔE_f (raw) (eV/atom): -1.0651
Final energy (eV per atom): -5.143
Relative energy among the computed polymorphs (meV per atom): 0.0
Space-group type: P2_1/m (11)

***

A plane-wave DFT calculation with PBE was carried out for a relaxed structure of RbMg6Pb4.

a b c (Å): 8.817 8.817 4.687
angles (deg): 90.00 90.00 120.00
Fractional positions:
Rb 0.000 0.000 0.000
Mg 0.204 0.408 0.500
Mg 0.204 0.796 0.500
Mg 0.536 0.071 0.000
Mg 0.536 0.464 0.000
Mg 0.592 0.796 0.500
Mg 0.929 0.464 0.000
Pb 0.333 0.667 0.000
Pb 0.394 0.197 0.500
Pb 0.803 0.197 0.500
Pb 0.803 0.606 0.500

Final energy (eV per atom): -2.388
Energy relative to the elements (eV per atom): -0.0815
Space-group type: P-6m2 (187)

***

A plane-wave DFT calculation with PBE was carried out for a relaxed structure of Er2Tm4ZrSc.

a b c (Å): 4.840 4.840 9.673
angles (deg): 90.00 90.00 90.00
Fractional positions:
Er 0.000 0.000 0.000
Er 0.500 0.500 0.500
Tm 0.000 0.500 0.244
Tm 0.000 0.500 0.756
Tm 0.500 0.000 0.244
Tm 0.500 0.000 0.756
Zr 0.500 0.500 0.000
Sc 0.000 0.000 0.500

Final energy (eV per atom): -5.179
Energy relative to the elements (eV per atom): 0.0572
Space-group type: P4/mmm (123)

***

A plane-wave DFT calculation with PBE was carried out for a relaxed structure of BeNiSb4.

a b c (Å): 6.071 6.071 6.071
angles (deg): 60.00 60.00 60.00
Fractional positions:
Be 0.000 0.000 0.000
Ni 0.750 0.750 0.750
Sb 0.375 0.375 0.375
Sb 0.375 0.375 0.876
Sb 0.375 0.876 0.375
Sb 0.876 0.375 0.375

ΔE_f (raw) (eV/atom): 1.0619
Final energy (eV per atom): -3.271
Space-group type: F-43m (216)

***

A plane-wave DFT calculation with PBE was carried out for a relaxed structure of SiRuSe2N.

a b c (Å): 4.972 4.972 3.220
angles (deg): 90.00 90.00 90.00
Fractional positions:
Si 0.000 0.000 0.000
Ru 0.500 0.500 0.500
Se 0.000 0.500 0.000
Se 0.500 0.000 0.000
N 0.000 0.000 0.500

ΔE_f (raw) (eV/atom): 0.5873
Final energy (eV per atom): -5.411
Relative energy among the computed polymorphs (meV per atom): 48.6
Space-group type: P4/mmm (123)

***

A plane-wave DFT calculation with PBE was carried out for a relaxed structure of CaHo2Mg.

a b c (Å): 3.753 3.753 8.950
angles (deg): 90.00 90.00 90.00
Fractional positions:
Ca 0.000 0.000 0.000
Ho 0.500 0.500 0.298
Ho 0.500 0.500 0.702
Mg 0.000 0.000 0.500

Final energy (eV per atom): -3.149
Relative energy among the computed polymorphs (meV per atom): 0.0
Energy relative to the elements (eV per atom): 0.0387
Space-group type: P4/mmm (123)

***

A plane-wave DFT calculation with PBE was carried out for a relaxed structure of Ca2NdMgSe4.

a b c (Å): 7.192 4.126 7.247
angles (deg): 90.00 109.52 90.00
Fractional positions:
Ca 0.000 0.000 0.000
Ca 0.000 0.500 0.500
Nd 0.500 0.000 0.500
Mg 0.500 0.500 0.000
Se 0.251 0.500 0.239
Se 0.264 0.000 0.767
Se 0.736 0.000 0.233
Se 0.749 0.500 0.761

ΔE_f (raw) (eV/atom): -1.7167
Final energy (eV per atom): -4.755
Space-group type: P2/m (10)

***

A plane-wave DFT calculation with PBE was carried out for a relaxed structure of K2ZrRu.

a b c (Å): 5.337 5.337 5.337
angles (deg): 60.00 60.00 60.00
Fractional positions:
K 0.250 0.250 0.250
K 0.750 0.750 0.750
Zr 0.000 0.000 0.000
Ru 0.500 0.500 0.500

Final energy (eV per atom): -3.193
Relative energy among the computed polymorphs (meV per atom): 1503.7
Energy relative to the elements (eV per atom): 1.8116
Space-group type: Fm-3m (225)

***

A plane-wave DFT calculation with PBE was carried out for a relaxed structure of BaZn2Cu.

a b c (Å): 5.099 5.099 5.099
angles (deg): 119.50 119.50 90.86
Fractional positions:
Ba 0.000 0.000 0.000
Zn 0.250 0.750 0.500
Zn 0.500 0.500 0.000
Cu 0.750 0.250 0.500

Final energy (eV per atom): -2.004
Energy relative to the elements (eV per atom): 0.1373
Space-group type: I-4m2 (119)

***

A plane-wave DFT calculation with PBE was carried out for a relaxed structure of La5TbN6.

a b c (Å): 6.433 6.433 6.419
angles (deg): 99.54 99.54 120.05
Fractional positions:
La 0.000 0.000 0.000
La 0.167 0.833 0.500
La 0.336 0.664 0.000
La 0.664 0.336 0.000
La 0.833 0.167 0.500
Tb 0.500 0.500 0.500
N 0.097 0.419 0.256
N 0.260 0.260 0.748
N 0.419 0.097 0.256
N 0.581 0.903 0.744
N 0.740 0.740 0.252
N 0.903 0.581 0.744

ΔE_f (raw) (eV/atom): -1.3559
Final energy (eV per atom): -7.958
Space-group type: C2/m (12)

***

A plane-wave DFT calculation with PBE was carried out for a relaxed structure of SrYZr2.

a b c (Å): 4.783 4.783 5.040
angles (deg): 90.00 90.00 90.00
Fractional positions:
Sr 0.000 0.000 0.000
Y 0.500 0.500 0.000
Zr 0.000 0.500 0.500
Zr 0.500 0.000 0.500

Final energy (eV per atom): -5.857
Relative energy among the computed polymorphs (meV per atom): 223.6
Energy relative to the elements (eV per atom): 0.4534
Space-group type: P4/mmm (123)

***

A plane-wave DFT calculation with PBE was carried out for a relaxed structure of TbHoHgRu.

a b c (Å): 5.028 5.028 5.028
angles (deg): 60.00 60.00 60.00
Fractional positions:
Tb 0.000 0.000 0.000
Ho 0.500 0.500 0.500
Hg 0.250 0.250 0.250
Ru 0.750 0.750 0.750

Final energy (eV per atom): -5.056
Relative energy among the computed polymorphs (meV per atom): 123.0
Energy relative to the elements (eV per atom): -0.3595
Space-group type: F-43m (216)

***

A plane-wave DFT calculation with PBE was carried out for a relaxed structure of HgMo2Pt.

a b c (Å): 2.758 4.316 5.662
angles (deg): 90.00 90.00 90.00
Fractional positions:
Hg 0.000 0.000 0.000
Mo 0.500 0.500 0.277
Mo 0.500 0.500 0.723
Pt 0.000 0.000 0.500

Final energy (eV per atom): -6.785
Relative energy among the computed polymorphs (meV per atom): 61.6
Energy relative to the elements (eV per atom): 0.2164
Space-group type: Pmmm (47)

***

A plane-wave DFT calculation with PBE was carried out for a relaxed structure of La2RuSe.

a b c (Å): 3.621 3.591 7.557
angles (deg): 90.00 90.13 90.00
Fractional positions:
La 0.001 0.000 0.267
La 0.999 0.000 0.733
Ru 0.500 0.500 0.500
Se 0.500 0.500 0.000

ΔE_f (raw) (eV/atom): -0.9287
Final energy (eV per atom): -6.583
Space-group type: P2/m (10)